Here is Nd2DyZn3Pt4 after structural relaxation from the Alexandria database. Energies are from PBE-GGA.

Results
* space group: P-4m2
* total moment: 0.0 Bohr magnetons per cell
* energy of formation from the pure elements: -829 meV per atom

```
Nd2DyZn3Pt4
1.0
-2.542 3.192 -0.939
-1.111 0.299 4.026
8.779 7.538 1.862
Nd Dy Zn Pt
2 1 3 4
Cartesian
0.699 3.287 -0.052
6.253 5.996 3.457
2.563 5.515 2.475
4.389 3.769 0.931
6.405 8.187 1.159
0.547 1.096 2.247
-1.826 1.746 1.544
0.000 0.000 0.000
4.510 6.560 0.757
2.442 2.723 2.649
```